Entry 1:
An optimized crystal structure of Er12Tm5Sc2, computed with PBE.

Cell and atoms, written as POSCAR:
```
Er12Tm5Sc2
1.0
7.718 -4.495 0.000
7.718 4.495 0.000
-0.157 0.000 8.344
Er Tm Sc
12 5 2
Direct
0.057 0.057 0.335 Er
0.069 0.679 0.330 Er
0.164 0.531 0.759 Er
0.321 0.931 0.670 Er
0.411 0.411 0.112 Er
0.469 0.836 0.241 Er
0.531 0.164 0.759 Er
0.589 0.589 0.888 Er
0.679 0.069 0.330 Er
0.836 0.469 0.241 Er
0.931 0.321 0.670 Er
0.943 0.943 0.665 Er
0.198 0.198 0.012 Tm
0.267 0.267 0.427 Tm
0.500 0.500 0.500 Tm
0.733 0.733 0.573 Tm
0.802 0.802 0.988 Tm
0.172 0.828 0.000 Sc
0.828 0.172 0.000 Sc
```

DOS(E_F), states/eV per atom: 1.629
Formation energy, eV per atom: 0.124
Electronic total energy, eV per atom: -4.60
Energy relative to the lowest polymorph listed for this composition, eV/atom: 0.0506

Entry 2:
An optimized crystal structure of AcNdHg3, computed with PBE.

Cell and atoms, written as POSCAR:
```
AcNdHg3
1.0
1.932 -15.004 0.000
1.932 15.004 0.000
0.000 0.000 5.072
Ac Nd Hg
2 2 6
Direct
0.076 0.924 0.750 Ac
0.924 0.076 0.250 Ac
0.209 0.791 0.250 Nd
0.791 0.209 0.750 Nd
0.317 0.683 0.250 Hg
0.377 0.623 0.750 Hg
0.476 0.524 0.750 Hg
0.524 0.476 0.250 Hg
0.623 0.377 0.250 Hg
0.683 0.317 0.750 Hg
```

DOS(E_F), states/eV per atom: 1.012
Formation energy, eV per atom: -0.451
Electronic total energy, eV per atom: -2.41